[1]
A plane-wave DFT calculation with GGA-PBEsol was carried out for a relaxed structure of YSc2Cd2.

The calculation puts the size of the total moment at 0.00 μB per formula unit. For the energy of formation, the calculation gives -207 meV per atom.

a = 3.481 Å, b = 8.226 Å, c = 8.226 Å
α = 90.00°, β = 90.00°, γ = 90.00°
Fractional coordinates of all 10 atoms:
Sc 0.500 0.170 0.670
Y 0.000 0.500 0.500
Cd 0.000 0.372 0.872
Sc 0.500 0.330 0.170
Cd 0.000 0.628 0.128
Cd 0.000 0.872 0.628
Sc 0.500 0.830 0.330
Y 0.000 0.000 0.000
Cd 0.000 0.128 0.372
Sc 0.500 0.670 0.830

***

[2]
A plane-wave DFT calculation with GGA-PBEsol was carried out for a relaxed structure of EuFe4P12.

The calculation puts the size of the total moment at 5.77 μB per formula unit. For the energy of formation, the calculation gives -686 meV per atom.

a = 6.680 Å, b = 6.680 Å, c = 6.680 Å
α = 109.47°, β = 109.47°, γ = 109.47°
Last column: magnetic moment on the atom in μB.
Fractional coordinates of all 17 atoms:
P 0.505 0.152 0.352  -0.01
Fe 0.500 0.500 0.500  -0.20
Fe 0.000 0.000 0.500  -0.20
P 0.800 0.152 0.648  -0.01
P 0.495 0.848 0.648  -0.01
P 0.648 0.495 0.848  -0.01
Eu 0.000 0.000 0.000  6.57
P 0.848 0.352 0.200  -0.01
P 0.648 0.800 0.152  -0.01
P 0.152 0.352 0.505  -0.01
P 0.352 0.505 0.152  -0.01
Fe 0.000 0.500 0.000  -0.20
P 0.352 0.200 0.848  -0.01
Fe 0.500 0.000 0.000  -0.20
P 0.152 0.648 0.800  -0.01
P 0.848 0.648 0.495  -0.01
P 0.200 0.848 0.352  -0.01

***

[3]
A plane-wave DFT calculation with GGA-PBEsol was carried out for a relaxed structure of MnRu5.

The calculation puts the size of the total moment at 0.00 μB per formula unit. For the energy of formation, the calculation gives 18 meV per atom.

a = 2.667 Å, b = 4.191 Å, c = 7.023 Å
α = 90.00°, β = 100.95°, γ = 90.00°
Fractional coordinates of all 6 atoms:
Ru 0.663 0.000 0.326
Mn 0.000 0.000 0.001
Ru 0.778 0.500 0.556
Ru 0.337 0.000 0.673
Ru 0.447 0.500 0.894
Ru 0.108 0.500 0.217

***

[4]
A plane-wave DFT calculation with GGA-PBEsol was carried out for a relaxed structure of Li5Mn2V3O10.

The calculation puts the size of the total moment at 13.19 μB per formula unit. For the formation energy (no corrections), the calculation gives -2039 meV/atom.

a = 4.955 Å, b = 5.123 Å, c = 7.745 Å
α = 105.03°, β = 103.44°, γ = 102.18°
Last column: magnetic moment on the atom in μB.
Fractional coordinates of all 20 atoms:
O 0.545 0.093 0.331  0.04
Li 0.209 0.932 0.421  0.00
O 0.054 0.132 0.863  0.05
V 0.710 0.904 0.898  1.50
V 0.290 0.096 0.102  1.50
O 0.864 0.699 0.461  0.15
Mn 0.101 0.688 0.686  3.59
Li 0.388 0.279 0.768  0.00
O 0.136 0.301 0.539  0.15
Li 0.612 0.721 0.232  0.00
Li 0.500 0.500 0.500  0.00
O 0.764 0.542 0.767  0.02
O 0.946 0.868 0.137  0.05
O 0.336 0.725 0.946  0.02
Li 0.791 0.068 0.579  0.00
O 0.236 0.458 0.233  0.02
V 0.000 0.500 0.000  1.66
Mn 0.899 0.312 0.314  3.59
O 0.664 0.275 0.054  0.02
O 0.455 0.907 0.669  0.04

***

[5]
A plane-wave DFT calculation with GGA-PBEsol was carried out for a relaxed structure of ScCr3Os.

The calculation puts the size of the total moment at 6.68 μB per formula unit. For the energy of formation, the calculation gives 1164 meV per atom.

a = 4.556 Å, b = 4.556 Å, c = 4.556 Å
α = 90.00°, β = 90.00°, γ = 90.00°
Last column: magnetic moment on the atom in μB.
Fractional coordinates of all 5 atoms:
Sc 0.500 0.500 0.500  -0.19
Cr 0.500 0.000 0.000  2.31
Os 0.000 0.000 0.000  -0.36
Cr 0.000 0.500 0.000  2.31
Cr 0.000 0.000 0.500  2.31

***

[6]
A plane-wave DFT calculation with GGA-PBEsol was carried out for a relaxed structure of BaH2Pb.

The calculation puts the size of the total moment at 0.00 μB per formula unit. As for the electronic total energy: -25.71 eV for the cell shown.

a = 5.175 Å, b = 5.175 Å, c = 7.340 Å
α = 110.64°, β = 110.64°, γ = 90.00°
Fractional coordinates of all 8 atoms:
H 0.625 0.680 0.750
H 0.930 0.375 0.250
H 0.125 0.070 0.750
Pb 0.000 0.000 0.000
H 0.320 0.875 0.250
Pb 0.250 0.750 0.500
Ba 0.500 0.500 0.000
Ba 0.750 0.250 0.500

***

[7]
A plane-wave DFT calculation with GGA-PBEsol was carried out for a relaxed structure of LaRePb3.

The calculation puts the size of the total moment at 0.00 μB per formula unit. For the energy of formation, the calculation gives 473 meV per atom.

a = 5.276 Å, b = 5.276 Å, c = 5.276 Å
α = 90.00°, β = 90.00°, γ = 90.00°
Fractional coordinates of all 5 atoms:
Pb 0.500 0.000 0.000
Pb 0.000 0.500 0.000
Pb 0.000 0.000 0.500
La 0.500 0.500 0.500
Re 0.000 0.000 0.000

***

[8]
A plane-wave DFT calculation with GGA-PBEsol was carried out for a relaxed structure of CrSbCI2.

The calculation puts the size of the total moment at 4.59 μB per formula unit. For the formation energy (no corrections), the calculation gives 1680 meV/atom.

a = 5.102 Å, b = 5.271 Å, c = 5.271 Å
α = 90.00°, β = 90.00°, γ = 90.00°
Last column: magnetic moment on the atom in μB.
Fractional coordinates of all 5 atoms:
Sb 0.500 0.000 0.000  -0.24
C 0.500 0.500 0.500  0.91
Cr 0.000 0.000 0.000  2.86
I 0.000 0.000 0.500  0.02
I 0.000 0.500 0.000  0.02

***

[9]
A plane-wave DFT calculation with GGA-PBEsol was carried out for a relaxed structure of PbCl2.

The calculation puts the size of the total moment at 0.00 μB per formula unit. For the formation energy (no corrections), the calculation gives -1060 meV/atom.

a = 9.562 Å, b = 9.562 Å, c = 9.562 Å
α = 60.00°, β = 60.00°, γ = 60.00°
Fractional coordinates of all 24 atoms:
Pb 0.364 0.364 0.907
Cl 0.300 0.700 0.300
Cl 0.125 0.125 0.125
Cl 0.125 0.625 0.125
Cl 0.550 0.550 0.950
Cl 0.950 0.550 0.950
Pb 0.886 0.886 0.343
Cl 0.125 0.125 0.625
Cl 0.300 0.300 0.700
Cl 0.625 0.125 0.125
Cl 0.300 0.700 0.700
Cl 0.550 0.950 0.950
Cl 0.950 0.950 0.550
Cl 0.700 0.300 0.700
Cl 0.950 0.550 0.550
Pb 0.886 0.343 0.886
Pb 0.343 0.886 0.886
Cl 0.550 0.950 0.550
Cl 0.700 0.700 0.300
Pb 0.364 0.907 0.364
Cl 0.700 0.300 0.300
Pb 0.364 0.364 0.364
Pb 0.907 0.364 0.364
Pb 0.886 0.886 0.886

***

[10]
A plane-wave DFT calculation with GGA-PBEsol was carried out for a relaxed structure of BaAlRu2.

The calculation puts the size of the total moment at 0.19 μB per formula unit. For the energy of formation, the calculation gives 606 meV per atom.

a = 2.962 Å, b = 5.058 Å, c = 5.930 Å
α = 115.24°, β = 104.46°, γ = 90.00°
Last column: magnetic moment on the atom in μB.
Fractional coordinates of all 4 atoms:
Ru 0.742 0.242 0.484  0.05
Ba 0.258 0.758 0.516  0.00
Ru 0.040 0.040 0.080  0.14
Al 0.460 0.460 0.920  0.00

***

[11]
A plane-wave DFT calculation with GGA-PBEsol was carried out for a relaxed structure of RbCrI3.

The calculation puts the size of the total moment at 4.00 μB per formula unit. For the formation energy (no corrections), the calculation gives -700 meV/atom.

a = 5.602 Å, b = 5.602 Å, c = 5.602 Å
α = 90.00°, β = 90.00°, γ = 90.00°
Last column: magnetic moment on the atom in μB.
Fractional coordinates of all 5 atoms:
I 0.000 0.500 0.000  -0.02
Cr 0.000 0.000 0.000  3.67
I 0.000 0.000 0.500  -0.02
Rb 0.500 0.500 0.500  0.00
I 0.500 0.000 0.000  -0.02

***

[12]
A plane-wave DFT calculation with GGA-PBEsol was carried out for a relaxed structure of BePOs2.

The calculation puts the size of the total moment at 0.00 μB per formula unit. For the energy of formation, the calculation gives -150 meV per atom.

a = 2.858 Å, b = 4.255 Å, c = 4.352 Å
α = 105.56°, β = 109.17°, γ = 90.00°
Fractional coordinates of all 4 atoms:
P 0.505 0.487 0.009
Os 0.994 0.922 0.989
Be 0.249 0.784 0.498
Os 0.752 0.307 0.504

***

[13]
A plane-wave DFT calculation with GGA-PBEsol was carried out for a relaxed structure of FeAsAuBr2.

The calculation puts the size of the total moment at 1.33 μB per formula unit. For the formation energy (no corrections), the calculation gives 520 meV/atom.

a = 4.463 Å, b = 4.874 Å, c = 4.874 Å
α = 90.00°, β = 90.00°, γ = 90.00°
Last column: magnetic moment on the atom in μB.
Fractional coordinates of all 5 atoms:
Br 0.000 0.000 0.500  0.00
Au 0.500 0.500 0.500  -0.03
Br 0.000 0.500 0.000  0.00
Fe 0.000 0.000 0.000  1.58
As 0.500 0.000 0.000  -0.15

***

[14]
A plane-wave DFT calculation with GGA-PBEsol was carried out for a relaxed structure of BaSr7Ti8O24.

The calculation puts the size of the total moment at 0.00 μB per formula unit. For the formation energy (no corrections), the calculation gives -3189 meV/atom.

a = 7.819 Å, b = 7.819 Å, c = 7.819 Å
α = 90.00°, β = 90.00°, γ = 90.00°
Fractional coordinates of all 40 atoms:
O 0.247 0.500 0.247
Sr 0.000 0.000 0.500
O 0.751 0.751 0.000
Ti 0.249 0.249 0.751
Ti 0.249 0.751 0.751
Ti 0.751 0.249 0.249
O 0.500 0.247 0.247
O 0.500 0.753 0.247
Ti 0.751 0.751 0.751
Ba 0.500 0.500 0.500
O 0.247 0.247 0.500
O 0.249 0.249 0.000
O 0.249 0.751 0.000
O 0.753 0.500 0.247
O 0.751 0.000 0.249
O 0.249 0.000 0.249
Sr 0.000 0.000 0.000
O 0.753 0.500 0.753
O 0.500 0.753 0.753
O 0.000 0.751 0.249
Ti 0.249 0.249 0.249
O 0.247 0.753 0.500
Ti 0.249 0.751 0.249
Ti 0.751 0.751 0.249
O 0.500 0.247 0.753
Sr 0.500 0.500 0.000
O 0.753 0.247 0.500
O 0.000 0.249 0.751
O 0.000 0.751 0.751
O 0.247 0.500 0.753
O 0.751 0.249 0.000
O 0.000 0.249 0.249
Sr 0.000 0.500 0.000
O 0.249 0.000 0.751
Sr 0.000 0.500 0.500
Sr 0.500 0.000 0.000
Ti 0.751 0.249 0.751
O 0.751 0.000 0.751
O 0.753 0.753 0.500
Sr 0.500 0.000 0.500

***

[15]
A plane-wave DFT calculation with GGA-PBEsol was carried out for a relaxed structure of Cd2Cl.

The calculation puts the size of the total moment at 0.00 μB per formula unit. For the formation energy (no corrections), the calculation gives -271 meV/atom.

a = 4.745 Å, b = 4.832 Å, c = 6.158 Å
α = 113.10°, β = 90.00°, γ = 90.00°
Fractional coordinates of all 6 atoms:
Cl 0.250 0.250 0.000
Cd 0.750 0.076 0.654
Cd 0.250 0.924 0.346
Cd 0.750 0.423 0.346
Cl 0.750 0.750 0.000
Cd 0.250 0.577 0.654

***

[16]
A plane-wave DFT calculation with GGA-PBEsol was carried out for a relaxed structure of NaLuO2.

The calculation puts the size of the total moment at 0.00 μB per formula unit. For the formation energy (no corrections), the calculation gives -2938 meV/atom.

a = 5.731 Å, b = 5.891 Å, c = 7.175 Å
α = 105.06°, β = 104.15°, γ = 112.18°
Fractional coordinates of all 16 atoms:
Na 0.194 0.444 0.889
Lu 0.943 0.193 0.387
O 0.432 0.138 0.873
O 0.059 0.265 0.127
O 0.708 0.417 0.376
Lu 0.317 0.067 0.134
Lu 0.057 0.807 0.613
O 0.832 0.041 0.624
O 0.568 0.862 0.127
O 0.292 0.583 0.624
Lu 0.683 0.933 0.866
Na 0.806 0.556 0.111
Na 0.430 0.680 0.360
O 0.168 0.959 0.376
Na 0.570 0.320 0.640
O 0.941 0.735 0.873

***

[17]
A plane-wave DFT calculation with GGA-PBEsol was carried out for a relaxed structure of CuSi2Hg.

The calculation puts the size of the total moment at 0.00 μB per formula unit. For the formation energy (no corrections), the calculation gives 405 meV/atom.

a = 3.633 Å, b = 4.803 Å, c = 4.803 Å
α = 58.74°, β = 67.78°, γ = 67.78°
Fractional coordinates of all 4 atoms:
Si 0.972 0.028 0.028
Cu 0.527 0.473 0.473
Hg 0.751 0.749 0.749
Si 0.250 0.250 0.250

***

[18]
A plane-wave DFT calculation with GGA-PBEsol was carried out for a relaxed structure of Ti3InGa.

The calculation puts the size of the total moment at 0.00 μB per formula unit. For the energy of formation, the calculation gives 316 meV per atom.

a = 4.657 Å, b = 4.657 Å, c = 4.657 Å
α = 90.00°, β = 90.00°, γ = 90.00°
Fractional coordinates of all 5 atoms:
In 0.500 0.500 0.500
Ti 0.000 0.500 0.000
Ti 0.000 0.000 0.500
Ti 0.500 0.000 0.000
Ga 0.000 0.000 0.000

***

[19]
A plane-wave DFT calculation with GGA-PBEsol was carried out for a relaxed structure of CrAgC3.

The calculation puts the size of the total moment at 0.00 μB per formula unit. For the energy of formation, the calculation gives 1779 meV per atom.

a = 3.803 Å, b = 3.803 Å, c = 3.803 Å
α = 90.00°, β = 90.00°, γ = 90.00°
Fractional coordinates of all 5 atoms:
C 0.000 0.500 0.000
C 0.000 0.000 0.500
Cr 0.000 0.000 0.000
C 0.500 0.000 0.000
Ag 0.500 0.500 0.500

***

[20]
A plane-wave DFT calculation with GGA-PBEsol was carried out for a relaxed structure of TlCuBr.

The calculation puts the size of the total moment at 0.00 μB per formula unit. For the formation energy (no corrections), the calculation gives -103 meV/atom.

a = 3.769 Å, b = 3.769 Å, c = 5.631 Å
α = 90.00°, β = 90.00°, γ = 120.00°
Fractional coordinates of all 3 atoms:
Br 0.000 0.000 0.913
Cu 0.667 0.333 0.692
Tl 0.333 0.667 0.395

***

[21]
A plane-wave DFT calculation with GGA-PBEsol was carried out for a relaxed structure of Ba2SrAg.

The calculation puts the size of the total moment at 0.00 μB per formula unit. For the energy of formation, the calculation gives -48 meV per atom.

a = 4.380 Å, b = 4.882 Å, c = 9.048 Å
α = 105.65°, β = 90.00°, γ = 90.00°
Fractional coordinates of all 4 atoms:
Ag 0.500 0.523 0.045
Ba 0.500 0.322 0.643
Sr 0.000 0.664 0.328
Ba 0.000 0.978 0.957